1.
A plane-wave DFT calculation with meta-GGA SCAN was carried out for TlCN3 at its PBEsol-relaxed geometry.

Calculated values
Magnetization, μB/f.u.: 0.00
Mass density, g/cm3: 9.58
Uncorrected formation energy, eV per atom: 2.7479
SG: Pm-3m (221)

Unit cell a=3.5508 b=3.5508 c=3.5508 alpha=90.00 beta=90.00 gamma=90.00
Last column: nearest neighbours and their distance in Å.
Element x y z (fractional)
1 Tl 0.0000 0.0000 0.0000  12 N 2.51
2 C 0.5000 0.5000 0.5000  6 N 1.78
3 N 0.0000 0.5000 0.5000  2 C 1.78
4 N 0.5000 0.0000 0.5000  2 C 1.78
5 N 0.5000 0.5000 0.0000  2 C 1.78

2.
A plane-wave DFT calculation with meta-GGA SCAN was carried out for TlC2N2 at its PBEsol-relaxed geometry.

Calculated values
Magnetization, μB/f.u.: 1.00
Mass density, g/cm3: 3.54
Uncorrected formation energy, eV per atom: 1.5541
SG: P4/mbm (127)

Unit cell a=6.5507 b=6.5507 c=5.6062 alpha=90.00 beta=90.00 gamma=90.00
Last column: nearest neighbours and their distance in Å.
Element x y z (fractional)
1 Tl 0.0000 0.0000 0.0000  4 N 2.91
2 Tl 0.5000 0.5000 0.0000  4 N 2.91
3 C 0.0687 0.4313 0.5000  1 C 1.27
4 C 0.4313 0.9313 0.5000  1 C 1.27
5 C 0.5687 0.0687 0.5000  1 C 1.27
6 C 0.9313 0.5687 0.5000  1 C 1.27
7 N 0.0602 0.5602 0.0000  1 N 1.11
8 N 0.4398 0.0602 0.0000  1 N 1.11
9 N 0.5602 0.9398 0.0000  1 N 1.11
10 N 0.9398 0.4398 0.0000  1 N 1.11

3.
A plane-wave DFT calculation with meta-GGA SCAN was carried out for Zr2CN at its PBEsol-relaxed geometry.

Calculated values
Magnetization, μB/f.u.: 0.00
Energy relative to the lowest polymorph listed for this composition, kJ per mole of atoms: 0.0
Mass density, g/cm3: 7.04
Uncorrected formation energy, eV per atom: -1.5432
SG: R-3m (166)

Unit cell a=5.6587 b=5.6587 c=5.6587 alpha=33.51 beta=33.51 gamma=33.51
Last column: nearest neighbours and their distance in Å.
Element x y z (fractional)
1 Zr 0.2493 0.2493 0.2493  3 C 2.30, 3 N 2.31
2 Zr 0.7507 0.7507 0.7507  3 C 2.30, 3 N 2.31
3 C 0.5000 0.5000 0.5000  6 Zr 2.30
4 N 0.0000 0.0000 0.0000  6 Zr 2.31

4.
A plane-wave DFT calculation with meta-GGA SCAN was carried out for Zr4CN3 at its PBEsol-relaxed geometry.

Calculated values
Magnetization, μB/f.u.: 0.00
Mass density, g/cm3: 7.21
Uncorrected formation energy, eV per atom: -1.7620
SG: R-3m (166)

Unit cell a=10.7557 b=10.7557 c=10.7557 alpha=17.34 beta=17.34 gamma=17.34
Last column: nearest neighbours and their distance in Å.
Element x y z (fractional)
1 Zr 0.1251 0.1251 0.1251  3 C 2.29, 3 N 2.32
2 Zr 0.3742 0.3742 0.3742  6 N 2.28
3 Zr 0.6258 0.6258 0.6258  6 N 2.28
4 Zr 0.8749 0.8749 0.8749  3 C 2.29, 3 N 2.32
5 C 0.5000 0.5000 0.5000  6 Zr 2.29
6 N 0.0000 0.0000 0.0000  6 Zr 2.28
7 N 0.2513 0.2513 0.2513  6 Zr 2.28-2.32
8 N 0.7487 0.7487 0.7487  6 Zr 2.28-2.32

5.
A plane-wave DFT calculation with meta-GGA SCAN was carried out for Zr2CN at its PBEsol-relaxed geometry.

Calculated values
Magnetization, μB/f.u.: 0.00
Energy relative to the lowest polymorph listed for this composition, kJ per mole of atoms: 44.6
Mass density, g/cm3: 5.59
Uncorrected formation energy, eV per atom: -1.0808
SG: I-42d (122)

Unit cell a=6.1142 b=6.1142 c=6.1142 alpha=131.97 beta=131.97 gamma=70.27
Last column: nearest neighbours and their distance in Å.
Element x y z (fractional)
1 Zr 0.1186 0.6250 0.9936  2 N 2.14, 2 C 2.18
2 Zr 0.3750 0.3686 0.4936  2 N 2.14, 2 C 2.18
3 Zr 0.6314 0.1250 0.0064  2 N 2.14, 2 C 2.18
4 Zr 0.8750 0.8814 0.5064  2 N 2.14, 2 C 2.18
5 C 0.2500 0.7500 0.5000  4 Zr 2.18
6 C 0.5000 0.5000 0.0000  4 Zr 2.18
7 N 0.0000 0.0000 0.0000  4 Zr 2.14
8 N 0.7500 0.2500 0.5000  4 Zr 2.14

6.
A plane-wave DFT calculation with meta-GGA SCAN was carried out for NaNb2C at its PBEsol-relaxed geometry.

Calculated values
Magnetization, μB/f.u.: 0.00
ΔE_f, kJ/mol of formula units: 263
Mass density, g/cm3: 5.71
SG: I-42d (122)

Unit cell a=5.6038 b=5.6038 c=5.6038 alpha=102.59 beta=102.59 gamma=124.33
Last column: nearest neighbours and their distance in Å.
Element x y z (fractional)
1 Na 0.0000 0.0000 0.0000  2 C 2.62, 4 Nb 2.84
2 Na 0.7500 0.2500 0.5000  2 C 2.62, 4 Nb 2.84
3 Nb 0.2237 0.1250 0.5987  2 C 2.15
4 Nb 0.3750 0.7763 0.9013  2 C 2.15
5 Nb 0.5263 0.6250 0.4013  2 C 2.15
6 Nb 0.8750 0.4737 0.0987  2 C 2.15
7 C 0.2500 0.7500 0.5000  4 Nb 2.15
8 C 0.5000 0.5000 0.0000  4 Nb 2.15

7.
A plane-wave DFT calculation with meta-GGA SCAN was carried out for NaNdPCO7 at its PBEsol-relaxed geometry.

Calculated values
Magnetization, μB/f.u.: 1.02
Mass density, g/cm3: 3.09
Uncorrected formation energy, eV per atom: -2.3463
SG: P2_1 (4)

Unit cell a=4.8152 b=7.1410 c=10.0689 alpha=90.00 beta=90.20 gamma=90.00
Last column: nearest neighbours and their distance in Å.
Element x y z (fractional)
1 Na 0.1877 0.0000 0.2196  4 O 2.27-2.45
2 Na 0.8123 0.5000 0.7804  4 O 2.27-2.45
3 Nd 0.2313 0.8720 0.6405  5 O 2.28-2.52
4 Nd 0.7687 0.3720 0.3595  5 O 2.28-2.52
5 P 0.3230 0.3647 0.5785  4 O 1.53-1.58
6 P 0.6770 0.8647 0.4215  4 O 1.53-1.58
7 C 0.2993 0.7875 0.9271  3 O 1.25-1.29
8 C 0.7007 0.2875 0.0729  3 O 1.25-1.29
9 O 0.0574 0.7716 0.8726  1 C 1.29
10 O 0.2030 0.5433 0.6416  1 P 1.54
11 O 0.2169 0.1909 0.6518  1 P 1.53
12 O 0.2491 0.3561 0.4260  1 P 1.58
13 O 0.3326 0.8158 0.0491  1 C 1.25
14 O 0.3551 0.8736 0.4181  1 P 1.55
15 O 0.4969 0.2766 0.1557  1 C 1.29
16 O 0.5031 0.7766 0.8443  1 C 1.29
17 O 0.6449 0.3736 0.5819  1 P 1.55
18 O 0.6674 0.3158 0.9509  1 C 1.25
19 O 0.7509 0.8561 0.5740  1 P 1.58
20 O 0.7831 0.6909 0.3482  1 P 1.53
21 O 0.7970 0.0433 0.3584  1 P 1.54
22 O 0.9426 0.2716 0.1274  1 C 1.29

8.
A plane-wave DFT calculation with meta-GGA SCAN was carried out for Na3NiC at its PBEsol-relaxed geometry.

Calculated values
Magnetization, μB/f.u.: 3.00
ΔE_f, kJ/mol of formula units: 569
Mass density, g/cm3: 2.09
SG: Pm-3m (221)

Unit cell a=4.8023 b=4.8023 c=4.8023 alpha=90.00 beta=90.00 gamma=90.00
Last column: nearest neighbours and their distance in Å.
Element x y z (fractional)
1 Na 0.0000 0.0000 0.5000  2 C 2.40
2 Na 0.0000 0.5000 0.0000  2 C 2.40
3 Na 0.5000 0.0000 0.0000  2 C 2.40
4 Ni 0.5000 0.5000 0.5000  12 Na 3.40
5 C 0.0000 0.0000 0.0000  6 Na 2.40